Entry 1:
BeGa2Rh | PBE | relaxed

```
BeGa2Rh
1.0
6.854 0.000 0.000
0.000 6.854 0.000
3.427 3.427 2.485
Be Rh Ga
2 2 4
direct
0.500 0.500 0.000
0.250 0.750 0.500
0.000 0.000 0.000
0.750 0.250 0.500
0.605 0.125 0.250
0.145 0.625 0.250
0.375 0.395 0.750
0.875 0.855 0.750
```

Output
- Space-group type: I-42d (122)
- N(E_F): 0.383 states/eV per atom
- Uncorrected energy: -4.17 eV/atom
- Volume: 116.74 Å³/cell



Entry 2:
BeGaRh3 | PBE | relaxed

```
BeGaRh3
1.0
4.117 0.000 0.000
0.000 4.117 0.000
0.000 0.000 4.117
Be Rh Ga
1 3 1
direct
0.000 0.000 0.000
0.000 0.500 0.000
0.000 0.000 0.500
0.500 0.000 0.000
0.500 0.500 0.500
```

Output
- Space-group type: Pm-3m (221)
- N(E_F): 0.737 states/eV per atom
- Energy relative to the lowest polymorph listed for this composition: 0 meV/atom
- Uncorrected energy: -5.82 eV/atom
- Volume: 69.81 Å³/cell



Number 1: total moment 0.0 Bohr magnetons per cell, energy of formation 11.4 kJ per mole of atoms. Number 2: total moment 0.0 Bohr magnetons per cell, energy of formation -5.7 kJ per mole of atoms.